[1]
Here is RbPrPdS3 after structural relaxation from the Open Quantum Materials Database. Energies are from PBE.

```
RbPrPdS3
1.0
-2.3698 4.0100 -6.6002
-1.4682 -2.5537 7.5221
4.1696 8.6213 3.7407
Rb Pr Pd S
2 2 2 6
Direct
0.2533 0.7467 0.2500
0.7467 0.2533 0.7500
0.5000 0.5000 0.0000
0.5000 0.5000 0.5000
0.9981 0.0019 0.2500
0.0019 0.9981 0.7500
0.4147 0.5853 0.7500
0.1112 0.8888 0.5877
0.8888 0.1112 0.0877
0.5853 0.4147 0.2500
0.1112 0.8888 0.9123
0.8888 0.1112 0.4123
```

Computed properties:
raw total energy = -5.042 eV per atom
crystal system = orthorhombic



[2]
Here is RbPrPdSe3 after structural relaxation from the Open Quantum Materials Database. Energies are from PBE.

```
RbPrPdSe3
1.0
0.8722 6.0222 -6.1320
-4.7688 -5.8666 4.1798
-3.0196 7.1552 6.5975
Rb Se Pd Pr
2 6 2 2
Direct
0.7536 0.2464 0.2500
0.2464 0.7536 0.7500
0.3896 0.6104 0.4090
0.6104 0.3896 0.5910
0.6104 0.3896 0.9090
0.0934 0.9066 0.2500
0.3896 0.6104 0.0910
0.9066 0.0934 0.7500
0.4973 0.5027 0.7500
0.5027 0.4973 0.2500
0.0000 0.0000 0.0000
0.0000 0.0000 0.5000
```

Computed properties:
raw total energy = -4.704 eV per atom
crystal system = orthorhombic



[3]
Here is RbPrTe3Pd after structural relaxation from the Open Quantum Materials Database. Energies are from PBE.

```
RbPrTe3Pd
1.0
2.2735 -9.0432 0.0000
2.2735 9.0432 0.0000
0.0000 0.0000 10.4404
Te Rb Pr Pd
6 2 2 2
Direct
0.5964 0.4036 0.2500
0.8870 0.1130 0.0960
0.1130 0.8870 0.9040
0.4036 0.5964 0.7500
0.8870 0.1130 0.4040
0.1130 0.8870 0.5960
0.7489 0.2511 0.7500
0.2511 0.7489 0.2500
0.5000 0.5000 0.0000
0.5000 0.5000 0.5000
0.0055 0.9945 0.2500
0.9945 0.0055 0.7500
```

Computed properties:
raw total energy = -4.369 eV per atom
crystal system = orthorhombic



[4]
Here is PrRePd after structural relaxation from the Open Quantum Materials Database. Energies are from PBE.

```
PrRePd
1.0
-0.2061 -0.3548 4.6487
-4.1393 -0.0602 2.1543
-1.5463 -3.9361 1.9735
Re Pr Pd
1 1 1
Direct
0.7500 0.7500 0.7500
0.2500 0.2500 0.2500
0.0000 0.0000 0.0000
```

Computed properties:
raw total energy = -6.737 eV per atom
energy of formation = 0.72 eV per atom
offset from the most stable computed form = 0.000 eV/atom
crystal system = cubic



[5]
Here is PrRePd after structural relaxation from the Open Quantum Materials Database. Energies are from PBE.

```
PrRePd
1.0
2.3536 1.3589 3.8434
-2.3536 1.3589 3.8434
0.0000 -2.7177 3.8434
Pd Re Pr
1 1 1
Direct
0.2500 0.2500 0.2500
0.7500 0.7500 0.7500
0.0000 0.0000 0.0000
```

Computed properties:
raw total energy = -6.200 eV per atom
energy of formation = 1.26 eV per atom
offset from the most stable computed form = 0.537 eV/atom
crystal system = cubic



[6]
Here is PrPd3S4 after structural relaxation from the Open Quantum Materials Database. Energies are from PBE.

```
PrPd3S4
1.0
-6.4043 -1.2060 -1.8514
1.9739 -5.6739 -3.1319
-0.9930 -3.5001 5.7150
S Pd Pr
8 6 2
Direct
0.2500 0.2500 0.7500
0.7500 0.7500 0.2500
0.7500 0.2500 0.2500
0.7500 0.2500 0.7500
0.2500 0.7500 0.2500
0.7500 0.7500 0.7500
0.2500 0.7500 0.7500
0.2500 0.2500 0.2500
0.5000 0.0000 0.7500
0.7500 0.5000 0.0000
0.5000 0.0000 0.2500
0.2500 0.5000 0.0000
0.0000 0.2500 0.5000
0.0000 0.7500 0.5000
0.5000 0.5000 0.5000
0.0000 0.0000 0.0000
```

Computed properties:
raw total energy = -5.514 eV per atom
crystal system = cubic



[7]
Here is PrTlPdS3 after structural relaxation from the Open Quantum Materials Database. Energies are from PBE.

```
PrTlPdS3
1.0
2.0240 -7.3560 0.0000
2.0240 7.3560 0.0000
0.0000 0.0000 10.6156
Tl S Pr Pd
2 6 2 2
Direct
0.7584 0.2416 0.2500
0.2416 0.7584 0.7500
0.3776 0.6224 0.0857
0.9160 0.0840 0.7500
0.6224 0.3776 0.9143
0.6224 0.3776 0.5857
0.0840 0.9160 0.2500
0.3776 0.6224 0.4143
0.0000 0.0000 0.0000
0.0000 0.0000 0.5000
0.4919 0.5081 0.2500
0.5081 0.4919 0.7500
```

Computed properties:
raw total energy = -5.016 eV per atom
crystal system = orthorhombic



[8]
Here is PrSb2Pd4 after structural relaxation from the Open Quantum Materials Database. Energies are from PBE.

```
PrSb2Pd4
1.0
8.0216 0.0000 0.0000
0.0000 8.0216 0.0000
0.0000 0.0000 4.3375
Pd Pr Sb
8 2 4
Direct
0.5944 0.8505 0.0000
0.4056 0.1495 0.0000
0.9056 0.3505 0.5000
0.3505 0.9056 0.5000
0.8505 0.5944 0.0000
0.0944 0.6495 0.5000
0.1495 0.4056 0.0000
0.6495 0.0944 0.5000
0.0000 0.0000 0.0000
0.5000 0.5000 0.5000
0.2822 0.7178 0.0000
0.2178 0.2178 0.5000
0.7178 0.2822 0.0000
0.7822 0.7822 0.5000
```

Computed properties:
raw total energy = -5.543 eV per atom
crystal system = tetragonal